Record 1
This record from Alexandria via LeMat-Bulk describes a relaxed FeCoOs4 crystal. The functional is GGA-PBE.

The structure belongs to space group F-43m (No. 216); the cell edges are 7.1896, 7.1896 and 7.1896 Å and the angles 90.00°, 90.00° and 90.00°. The inequivalent atoms are Fe at (0.0000, 0.0000, 0.0000), Co at (0.2500, 0.2500, 0.7500) and Os at (0.1249, 0.1249, 0.3751).

The value obtained for the mass density is 15.65 g/cm3. The value obtained for the energy of formation is 0.86 eV/atom.

Record 2
This record from Alexandria via LeMat-Bulk describes a relaxed Tb3Nd6Dy2Y crystal. The functional is GGA-PBE.

The structure belongs to space group C2/m (No. 12); the cell edges are 6.2873, 10.8895 and 11.9019 Å and the angles 90.00°, 100.11° and 90.00°. The inequivalent atoms are Tb at (0.0000, 0.0000, 0.0000), Tb at (0.0000, 0.3333, 0.0000), Nd at (0.2490, 0.1671, 0.2503), Nd at (0.2498, 0.0000, 0.7499), Dy at (0.0000, 0.1666, 0.5000) and Y at (0.0000, 0.5000, 0.5000).

The value obtained for the mass density is 7.27 g/cm3. The value obtained for the energy of formation is 0.01 eV/atom.

The magnetic moment results, record by record, are as follows: 6.03; 0.00 μB/f.u..